Entry 1:
The following is a DFT calculation (PBE) of a relaxed structure of Ti2Hg2Pd.

Calculated values
Crystal system: tetragonal
Volume in Å³/cell: 193.5

```
10
Lattice="7.922 0.000 0.000 0.000 7.922 0.000 0.000 0.000 3.083" Properties=species:S:1:pos:R:3 pbc="T T T"
Hg 6.496 2.535 1.541
Hg 2.535 1.426 1.541
Hg 1.426 5.388 1.541
Hg 5.388 6.496 1.541
Ti 7.005 4.879 0.000
Ti 0.918 3.044 0.000
Ti 4.879 0.918 0.000
Ti 3.044 7.005 0.000
Pd 0.000 0.000 0.000
Pd 3.961 3.961 0.000
```

=====

Entry 2:
The following is a DFT calculation (PBE) of a relaxed structure of Cd6Pt5.

Calculated values
Crystal system: orthorhombic
Volume in Å³/cell: 207.4

```
11
Lattice="-2.457 -3.620 0.165 0.702 -0.151 7.134 -6.659 1.904 0.696" Properties=species:S:1:pos:R:3 pbc="T T T"
Cd -4.062 -2.441 2.144
Cd -1.071 -1.844 1.688
Cd -7.344 -0.023 6.307
Cd -4.705 0.649 2.273
Cd -3.710 -2.517 5.722
Cd -4.352 0.573 5.851
Pt -6.007 -1.193 0.566
Pt -2.605 -0.704 3.845
Pt 0.351 -0.076 3.567
Pt -5.809 -1.163 4.150
Pt -3.110 -0.524 0.295
```

=====

Number 1: total magnetization 1.92 μB per formula unit, DFT total energy -4.122 eV/atom. Number 2: total magnetization 0.00 μB per formula unit, DFT total energy -3.523 eV/atom.